Sm4Tm5Cd (PBE-GGA, relaxed); distance to the lowest polymorph of the same formula = 0 meV per atom; formation enthalpy at 0 K = -0.05 eV per atom; spin magnetization = 0.000 μB per atom; VASP energy = -4.260 eV/atom; DOS at the Fermi energy = 1.2935 states/eV per atom
1.0
3.564 0.000 0.000
0.000 3.564 0.000
0.000 0.000 24.084
Sm Tm Cd
4 5 1
direct
0.000 0.000 0.104
0.000 0.000 0.312
0.000 0.000 0.688
0.000 0.000 0.896
0.500 0.500 0.000
0.500 0.500 0.208
0.500 0.500 0.416
0.500 0.500 0.584
0.500 0.500 0.792
0.000 0.000 0.500